Computed, not measured: a geometry-optimized CrSbTe structure at the PBE level of DFT.

Cell lengths 6.793, 6.794, 6.794 Å; angles 151.19, 151.19, 41.20 degrees
Site moments in Bohr magnetons follow the coordinates.
Fractional coordinates of all 3 atoms:
1 Cr 0.008 0.008 0.000  2.93
2 Sb 0.369 0.369 0.000  -0.09
3 Te 0.623 0.623 0.000  -0.17

Computed properties:
**Uncorrected energy**: -5.481 eV/atom
**Total magnetization**: 2.79 μB per cell
**Space-group type**: I4mm (107)
**Energy above the lowest structure with this stoichiometry**: 61.9 meV per atom
**Formation energy from raw total energies**: 148 meV per atom
**Calculated volume**: 72.67 Å³ per cell